{
  "formula": "Li4CoF5",
  "functional": "PBE+U",
  "state": "optimized geometry",
  "lattice_angstrom": [[-2.626, 0.646, -3.267], [0.988, -2.904, -4.122], [-4.178, -2.990, 0.014]],
  "species": ["Li", "Li", "Li", "Li", "Co", "F", "F", "F", "F", "F"],
  "fractional_positions": [[0.396, 0.408, 0.802], [0.803, 0.802, 0.592], [0.198, 0.198, 0.408], [0.606, 0.592, 0.198], [0.001, 0.000, 0.000], [0.890, 0.428, 0.795], [0.318, 0.795, 0.572], [0.685, 0.205, 0.428], [0.113, 0.572, 0.205], [0.501, 0.000, 0.000]],
  "energy_ev_per_atom": -4.715,
  "mass_density_g_cm3": 3.25
}